Entry 1:
DFT (PBE) results for crystalline MgPtW2 at its relaxed geometry.

Calculated values
**Calculated formation energy**: 0.17 eV/f.u.
**Space group**: Pmm2, No. 25
**Total magnetization**: 0.0 μB/cell
**ρ**: 15.02 g/cm3

Structure (POSCAR):
```
MgPtW2
1.0
2.7343 0.0000 0.0000
0.0000 4.0958 0.0000
0.0000 0.0000 5.7957
Mg Pt W
1 1 2
direct
0.0000 0.0000 0.0000 Mg
0.5000 0.5000 0.2162 Pt
0.0000 0.0000 0.4942 W
0.5000 0.5000 0.7242 W
```

Entry 2:
DFT (PBE) results for crystalline PrHoLuAl at its relaxed geometry.

Calculated values
**Calculated formation energy**: -0.28 eV/f.u.
**Space group**: F-43m, No. 216
**Total magnetization**: 0.1 μB/cell
**ρ**: 7.67 g/cm3

Structure (POSCAR):
```
PrHoLuAl
1.0
7.6034 0.0000 0.0000
0.0000 7.6034 0.0000
0.0000 0.0000 7.6034
Pr Ho Lu Al
4 4 4 4
direct
0.0000 0.0000 0.0000 Pr
0.0000 0.5000 0.5000 Pr
0.5000 0.0000 0.5000 Pr
0.5000 0.5000 0.0000 Pr
0.0000 0.0000 0.5000 Ho
0.0000 0.5000 0.0000 Ho
0.5000 0.0000 0.0000 Ho
0.5000 0.5000 0.5000 Ho
0.2500 0.2500 0.7500 Lu
0.2500 0.7500 0.2500 Lu
0.7500 0.2500 0.2500 Lu
0.7500 0.7500 0.7500 Lu
0.2500 0.2500 0.2500 Al
0.2500 0.7500 0.7500 Al
0.7500 0.2500 0.7500 Al
0.7500 0.7500 0.2500 Al
```

Entry 3:
DFT (PBE) results for crystalline SrLi2N at its relaxed geometry.

Calculated values
**Formation energy (no corrections)**: -252 meV per atom
**Space group**: P2_1/m, No. 11
**Total magnetization**: 0.0 μB/cell
**ρ**: 2.40 g/cm3

Structure (POSCAR):
```
SrLi2N
1.0
3.4925 0.0000 0.0000
0.0000 6.2510 0.0000
-1.7286 0.0000 7.3334
Sr Li N
2 4 2
direct
0.0984 0.2500 0.1935 Sr
0.9016 0.7500 0.8065 Sr
0.2856 0.0794 0.5720 Li
0.2856 0.4206 0.5720 Li
0.7144 0.5794 0.4280 Li
0.7144 0.9206 0.4280 Li
0.2797 0.7500 0.5602 N
0.7203 0.2500 0.4398 N
```

Entry 4:
DFT (PBE) results for crystalline EuSn2Au at its relaxed geometry.

Calculated values
**Calculated formation energy**: -0.16 eV/f.u.
**Space group**: R-3m, No. 166
**Total magnetization**: 23.8 μB/cell
**ρ**: 8.23 g/cm3

Structure (POSCAR):
```
EuSn2Au
1.0
3.6151 0.0000 0.0000
-1.8076 3.1308 0.0000
0.0000 0.0000 31.3638
Eu Sn Au
3 6 3
direct
0.0000 0.0000 0.0000 Eu
0.3333 0.6667 0.6667 Eu
0.6667 0.3333 0.3333 Eu
0.0000 0.0000 0.1040 Sn
0.0000 0.0000 0.8960 Sn
0.3333 0.6667 0.5626 Sn
0.3333 0.6667 0.7707 Sn
0.6667 0.3333 0.2293 Sn
0.6667 0.3333 0.4374 Sn
0.0000 0.0000 0.5000 Au
0.3333 0.6667 0.1667 Au
0.6667 0.3333 0.8333 Au
```

Entry 5:
DFT (PBE) results for crystalline LiCu8 at its relaxed geometry.

Calculated values
**Calculated formation energy**: -0.18 eV/f.u.
**Space group**: I4/mmm, No. 139
**Total magnetization**: 0.0 μB/cell
**ρ**: 7.95 g/cm3

Structure (POSCAR):
```
LiCu8
1.0
-3.8356 3.8356 1.8296
3.8356 -3.8356 1.8296
3.8356 3.8356 -1.8296
Li Cu
1 8
direct
0.0000 0.0000 0.0000 Li
0.0000 0.3337 0.3337 Cu
0.0000 0.6663 0.6663 Cu
0.3325 0.3325 0.6649 Cu
0.3325 0.6675 0.0000 Cu
0.3337 0.0000 0.3337 Cu
0.6663 0.0000 0.6663 Cu
0.6675 0.3325 0.0000 Cu
0.6675 0.6675 0.3351 Cu
```

no.,density of states at the Fermi level (states/eV/f.u.)
1,2.27
2,6.36
3,1.33
4,2.03
5,3.03